4
Lattice="-2.3501 -1.0828 -4.5017 2.7925 -0.3796 -4.3610 0.6946 -4.6310 -2.2432" Properties=species:S:1:pos:R:3 comment="HoHgBiAu GGA-PBE optimized geometry" dos_ef_per_ev_fu=3.153 ef_ev_per_atom=-0.3814 pbc="T T T"
Ho 0.2842 -1.5233 -2.7765
Au 0.0000 0.0000 0.0000
Bi 0.8527 -4.5700 -8.3294
Hg 0.5685 -3.0467 -5.5529